La9B3C6I5 | SCAN | PBEsol geometry

## Properties
- Spin magnetization: 0.0 μB/cell
- Formation energy (no corrections): -0.9277 eV/atom

abc: 3.8844 8.1697 33.3762
angles: 90.00 90.00 90.00
Closest atoms and distances in Å follow each position.
Sites, in units of the cell vectors:
La 0.5000 0.9181 0.1544  2 B 2.66, 4 C 2.75-2.76
La 0.5000 0.1869 0.2404  3 C 2.48-2.61
La 0.0000 0.8131 0.2596  3 C 2.48-2.61
La 0.0000 0.4340 0.0000  2 B 2.64, 4 C 2.80
La 0.0000 0.0819 0.6544  2 B 2.66, 4 C 2.75-2.76
La 0.0000 0.6645 0.3838  3 C 2.51-2.60
La 0.5000 0.9521 0.5555  3 C 2.42-2.64
La 0.0000 0.0479 0.9445  3 C 2.42-2.64
La 0.5000 0.3355 0.1162  3 C 2.51-2.60
La 0.5000 0.9521 0.4445  3 C 2.42-2.64
La 0.0000 0.0479 0.0555  3 C 2.42-2.64
La 0.0000 0.6645 0.6162  3 C 2.51-2.60
La 0.0000 0.0819 0.3456  2 B 2.66, 4 C 2.75-2.76
La 0.0000 0.8131 0.7404  3 C 2.48-2.61
La 0.5000 0.5660 0.5000  2 B 2.64, 4 C 2.80
La 0.5000 0.3355 0.8838  3 C 2.51-2.60
La 0.5000 0.1869 0.7596  3 C 2.48-2.61
La 0.5000 0.9181 0.8456  2 B 2.66, 4 C 2.75-2.76
B 0.0000 0.7841 0.5000  2 C 1.49
B 0.5000 0.8685 0.3300  2 C 1.49
B 0.5000 0.2159 0.0000  2 C 1.49
B 0.0000 0.1315 0.8300  2 C 1.49
B 0.0000 0.1315 0.1700  2 C 1.49
B 0.5000 0.8685 0.6700  2 C 1.49
C 0.5000 0.8728 0.6254  1 B 1.49
C 0.5000 0.9742 0.2936  1 B 1.49
C 0.0000 0.0258 0.7936  1 B 1.49
C 0.5000 0.2615 0.9568  1 B 1.49
C 0.0000 0.7385 0.4568  1 B 1.49
C 0.0000 0.0258 0.2064  1 B 1.49
C 0.5000 0.2615 0.0432  1 B 1.49
C 0.5000 0.9742 0.7064  1 B 1.49
C 0.0000 0.1272 0.1254  1 B 1.49
C 0.5000 0.8728 0.3746  1 B 1.49
C 0.0000 0.1272 0.8746  1 B 1.49
C 0.0000 0.7385 0.5432  1 B 1.49
I 0.0000 0.4295 0.2986  5 La 3.25-3.43
I 0.5000 0.3346 0.5964  6 La 3.39-3.73
I 0.0000 0.6654 0.0964  6 La 3.39-3.73
I 0.0000 0.6654 0.9036  6 La 3.39-3.73
I 0.5000 0.5705 0.7986  5 La 3.25-3.43
I 0.0000 0.2140 0.5000  6 La 3.43-3.47, 1 B 3.51
I 0.5000 0.3346 0.4036  6 La 3.39-3.73
I 0.5000 0.7860 0.0000  6 La 3.43-3.47, 1 B 3.51
I 0.0000 0.4295 0.7014  5 La 3.25-3.43
I 0.5000 0.5705 0.2014  5 La 3.25-3.43

MgRuPt2 | SCAN | PBEsol geometry

## Properties
- Spin magnetization: 0.0 μB/cell
- E_form: -0.38 eV/atom

abc: 3.8806 3.8806 4.7547
angles: 114.08 114.08 90.00
Closest atoms and distances in Å follow each position.
Sites, in units of the cell vectors:
Mg 0.5000 0.5000 0.0000  4 Ru 2.74, 8 Pt 2.74
Pt 0.7500 0.2500 0.5000  4 Pt 2.74, 4 Ru 2.74, 4 Mg 2.74
Pt 0.2500 0.7500 0.5000  4 Pt 2.74, 4 Mg 2.74, 4 Ru 2.74
Ru 0.0000 0.0000 0.0000  4 Mg 2.74, 8 Pt 2.74

CrIn2Tc | SCAN | PBEsol geometry

## Properties
- Spin magnetization: 3.6 μB/cell
- Offset from the most stable computed form: 0.000 eV per atom
- E_form: 0.18 eV/atom

abc: 4.5643 4.5643 4.5643
angles: 60.00 60.00 60.00
Closest atoms and distances in Å follow each position.
Sites, in units of the cell vectors:
Cr 0.0000 0.0000 0.0000  8 In 2.80
Tc 0.5000 0.5000 0.5000  8 In 2.80
In 0.2500 0.2500 0.2500  4 Cr 2.80, 4 Tc 2.80
In 0.7500 0.7500 0.7500  4 Cr 2.80, 4 Tc 2.80

GdCu4Pd | SCAN | PBEsol geometry

## Properties
- Spin magnetization: 7.4 μB/cell
- Offset from the most stable computed form: 0.047 eV per atom
- E_form: -0.29 eV/atom

abc: 4.8864 4.8864 5.1135
angles: 61.46 61.46 60.00
Closest atoms and distances in Å follow each position.
Sites, in units of the cell vectors:
Gd 0.9993 0.9993 0.0020  3 Pd 2.86, 13 Cu 2.95-3.10
Cu 0.6297 0.1312 0.6094  4 Cu 2.44-2.45, 2 Pd 2.53-2.58
Cu 0.6297 0.6297 0.6094  4 Cu 2.44-2.45, 2 Pd 2.53-2.58
Cu 0.1312 0.6297 0.6094  4 Cu 2.44-2.45, 2 Pd 2.53-2.58
Cu 0.2322 0.2322 0.3033  6 Cu 2.77, 3 Pd 2.93, 4 Gd 2.98-3.10
Pd 0.6278 0.6278 0.1166  6 Cu 2.53-2.58